No. 1
# IrN2ClF | the Alexandria database | PBE | optimized geometry
# DFT total energy: -17.1 eV/cell
# Total magnetization: 0.036 μB/f.u.
# ΔE to the lowest computed polymorph: 1667 meV per atom
# Symmetry: No. 123
# Energy relative to the elements, uncorrected: 2.430 eV/atom
data_IrN2ClF
_cell_length_a 4.0099
_cell_length_b 4.0099
_cell_length_c 3.6504
_cell_angle_alpha 90.00
_cell_angle_beta 90.00
_cell_angle_gamma 90.00
_symmetry_space_group_name_H-M 'P 1'
_symmetry_Int_Tables_number 1
_symmetry_space_group_name_Hall 'P 1'
loop_
_atom_site_label
_atom_site_fract_x
_atom_site_fract_y
_atom_site_fract_z
Ir1 0.0000 0.0000 0.0000
N1 0.0000 0.5000 0.5000
N2 0.5000 0.0000 0.5000
Cl1 0.5000 0.5000 0.5000
F1 0.5000 0.5000 0.0000

***

No. 2
# CsCrGaSe4 | the Alexandria database | PBE | optimized geometry
# DFT total energy: -63.5 eV/cell
# Total magnetization: 1.991 μB/f.u.
# Symmetry: No. 11
# Energy relative to the elements, uncorrected: -0.616 eV/atom
data_CsCrGaSe4
_cell_length_a 6.6134
_cell_length_b 6.9419
_cell_length_c 8.9946
_cell_angle_alpha 90.00
_cell_angle_beta 93.54
_cell_angle_gamma 90.00
_symmetry_space_group_name_H-M 'P 1'
_symmetry_Int_Tables_number 1
_symmetry_space_group_name_Hall 'P 1'
loop_
_atom_site_label
_atom_site_fract_x
_atom_site_fract_y
_atom_site_fract_z
Cs1 0.2319 0.2500 0.0566
Cs2 0.7681 0.7500 0.9434
Cr1 0.1605 0.7500 0.4634
Cr2 0.8395 0.2500 0.5366
Ga1 0.3533 0.2500 0.6372
Ga2 0.6467 0.7500 0.3628
Se1 0.0867 0.0033 0.6657
Se2 0.0867 0.4967 0.6657
Se3 0.3329 0.7500 0.2125
Se4 0.4927 0.7500 0.5952
Se5 0.5073 0.2500 0.4048
Se6 0.6671 0.2500 0.7875
Se7 0.9133 0.5033 0.3343
Se8 0.9133 0.9967 0.3343

***

No. 3
# Sr2CdInAu | the Alexandria database | PBE | optimized geometry
# DFT total energy: -10.2 eV/cell
# Energy of formation from the pure elements: 0.016 eV per atom
# Total magnetization: 0.000 μB/f.u.
# Symmetry: No. 123
data_Sr2CdInAu
_cell_length_a 6.2516
_cell_length_b 6.2516
_cell_length_c 5.0878
_cell_angle_alpha 90.00
_cell_angle_beta 90.00
_cell_angle_gamma 90.00
_symmetry_space_group_name_H-M 'P 1'
_symmetry_Int_Tables_number 1
_symmetry_space_group_name_Hall 'P 1'
loop_
_atom_site_label
_atom_site_fract_x
_atom_site_fract_y
_atom_site_fract_z
Sr1 0.0000 0.5000 0.0000
Sr2 0.5000 0.0000 0.0000
Cd1 0.0000 0.0000 0.0000
In1 0.0000 0.0000 0.5000
Au1 0.5000 0.5000 0.5000

***

No. 4
# InAgIr2 | the Alexandria database | PBE | optimized geometry
# DFT total energy: -42.1 eV/cell
# Energy of formation from the pure elements: 0.571 eV per atom
# Total magnetization: 0.336 μB/f.u.
# Symmetry: No. 122
data_InAgIr2
_cell_length_a 10.0177
_cell_length_b 10.0177
_cell_length_c 10.0177
_cell_angle_alpha 157.29
_cell_angle_beta 157.29
_cell_angle_gamma 32.34
_symmetry_space_group_name_H-M 'P 1'
_symmetry_Int_Tables_number 1
_symmetry_space_group_name_Hall 'P 1'
loop_
_atom_site_label
_atom_site_fract_x
_atom_site_fract_y
_atom_site_fract_z
In1 0.0000 0.0000 0.0000
In2 0.7500 0.2500 0.5000
Ag1 0.2500 0.7500 0.5000
Ag2 0.5000 0.5000 0.0000
Ir1 0.1762 0.6250 0.0512
Ir2 0.3750 0.4262 0.5512
Ir3 0.5738 0.1250 0.9488
Ir4 0.8750 0.8238 0.4488

***

No. 5
# TlH2O | the Alexandria database | PBE | optimized geometry
# DFT total energy: -27.4 eV/cell
# Total magnetization: 0.000 μB/f.u.
# ΔE to the lowest computed polymorph: 329 meV per atom
# Symmetry: No. 141
data_TlH2O
_cell_length_a 4.8848
_cell_length_b 4.8848
_cell_length_c 4.8848
_cell_angle_alpha 120.23
_cell_angle_beta 120.23
_cell_angle_gamma 89.60
_symmetry_space_group_name_H-M 'P 1'
_symmetry_Int_Tables_number 1
_symmetry_space_group_name_Hall 'P 1'
loop_
_atom_site_label
_atom_site_fract_x
_atom_site_fract_y
_atom_site_fract_z
Tl1 0.3750 0.6250 0.7500
Tl2 0.6250 0.3750 0.2500
H1 0.0000 0.0000 0.0000
H2 0.0000 0.0000 0.5000
H3 0.0000 0.5000 0.0000
H4 0.5000 0.0000 0.5000
O1 0.1250 0.8750 0.2500
O2 0.8750 0.1250 0.7500

***

No. 6
# Hf3TaSn | the Alexandria database | PBE | optimized geometry
# DFT total energy: -182.9 eV/cell
# Energy of formation from the pure elements: 0.000 eV per atom
# Total magnetization: 0.000 μB/f.u.
# ΔE to the lowest computed polymorph: 0 meV per atom
# Symmetry: No. 15
data_Hf3TaSn
_cell_length_a 7.5375
_cell_length_b 7.5375
_cell_length_c 9.4886
_cell_angle_alpha 115.95
_cell_angle_beta 115.95
_cell_angle_gamma 74.48
_symmetry_space_group_name_H-M 'P 1'
_symmetry_Int_Tables_number 1
_symmetry_space_group_name_Hall 'P 1'
loop_
_atom_site_label
_atom_site_fract_x
_atom_site_fract_y
_atom_site_fract_z
Hf1 0.0316 0.3573 0.5750
Hf2 0.0586 0.7285 0.9243
Hf3 0.2715 0.9414 0.5757
Hf4 0.3122 0.3382 0.9154
Hf5 0.3382 0.3122 0.4154
Hf6 0.3573 0.0316 0.0750
Hf7 0.6427 0.9684 0.9250
Hf8 0.6618 0.6878 0.5846
Hf9 0.6878 0.6618 0.0846
Hf10 0.7285 0.0586 0.4243
Hf11 0.9414 0.2715 0.0757
Hf12 0.9684 0.6427 0.4250
Ta1 0.1810 0.5645 0.2037
Ta2 0.4355 0.8190 0.2963
Ta3 0.5645 0.1810 0.7037
Ta4 0.8190 0.4355 0.7963
Sn1 0.0137 0.9863 0.2500
Sn2 0.3752 0.6248 0.7500
Sn3 0.6248 0.3752 0.2500
Sn4 0.9863 0.0137 0.7500